11
Lattice="5.962 0.000 0.000 2.981 5.163 0.000 2.981 1.721 5.632" Properties=species:S:1:pos:R:3 comment="Ba2PuFe2N6, optimized geometry, DFT PBE" dos_ef_per_ev_cell=6.38 e_form_raw_ev_per_atom=-0.537 magnetic_moment_mub_per_cell=4.37 dft_energy_ev_per_atom=-8.2697 pbc="T T T"
Ba 8.943 5.163 3.919
Ba 2.981 1.721 1.712
Pu 0.000 0.000 0.000
Fe 5.962 3.442 3.956
Fe 5.962 3.442 1.675
N 7.403 4.274 1.266
N 4.522 4.274 1.266
N 5.962 1.779 1.266
N 5.962 5.106 4.365
N 7.403 2.611 4.365
N 4.522 2.611 4.365


16
Lattice="3.488 0.000 0.000 -1.744 5.963 0.000 0.000 0.000 11.648" Properties=species:S:1:pos:R:3 comment="BaPu2FeN4, optimized geometry, DFT PBE" dos_ef_per_ev_cell=25.84 e_form_raw_ev_per_atom=-0.910 magnetic_moment_mub_per_cell=15.46 dft_energy_ev_per_atom=-9.9542 pbc="T T T"
Ba 0.000 1.072 8.736
Ba 1.744 4.891 2.912
Pu 0.000 4.381 6.414
Pu 1.744 1.582 0.591
Pu 1.744 1.582 5.233
Pu 0.000 4.381 11.057
Fe 1.744 3.819 8.736
Fe 0.000 2.144 2.912
N 0.000 2.963 1.238
N 1.744 3.000 7.062
N 1.744 3.000 10.410
N 0.000 2.963 4.586
N 0.000 0.000 5.824
N 0.000 0.000 0.000
N 0.000 4.688 8.736
N 1.744 1.275 2.912